[1]
A plane-wave DFT calculation with PBEsol was carried out for a geometry-optimized Cs2RbNF6 structure.

Calculated values
Size of the total moment = 0.000 μB per formula unit
Final energy = -39.3 eV for the cell shown

Cell lengths 6.2895, 6.2895, 6.2895 Å; angles 60.00, 60.00, 60.00 degrees
With the nearest neighbours (Å) after each atom.
Positions (direct):
Cs  0.2500  0.2500  0.2500  12 F 3.17
Cs  0.7500  0.7500  0.7500  12 F 3.17
Rb  0.0000  0.0000  0.0000  6 F 2.63
N  0.5000  0.5000  0.5000  6 F 1.82
F  0.2956  0.2956  0.7044  1 N 1.82
F  0.2956  0.7044  0.2956  1 N 1.82
F  0.2956  0.7044  0.7044  1 N 1.82
F  0.7044  0.2956  0.2956  1 N 1.82
F  0.7044  0.2956  0.7044  1 N 1.82
F  0.7044  0.7044  0.2956  1 N 1.82



[2]
A plane-wave DFT calculation with PBEsol was carried out for a geometry-optimized LiCuPO4 structure.

Calculated values
Size of the total moment = 1.015 μB per formula unit
Distance to the lowest polymorph of the same formula = 0 meV per atom
Final energy = -183.0 eV for the cell shown

Cell lengths 4.9018, 4.9018, 15.4846 Å; angles 91.26, 91.26, 75.02 degrees
With the nearest neighbours (Å) after each atom.
Positions (direct):
Li  0.0921  0.5941  0.9244  3 O 1.86-2.05
Li  0.4059  0.9079  0.5756  3 O 1.86-2.05
Li  0.5941  0.0921  0.4244  3 O 1.86-2.05
Li  0.9079  0.4059  0.0756  3 O 1.86-2.05
Cu  0.2489  0.2513  0.7500  4 O 1.90-1.93
Cu  0.2513  0.2489  0.2500  4 O 1.90-1.93
Cu  0.7487  0.7511  0.7500  4 O 1.90-1.93
Cu  0.7511  0.7487  0.2500  4 O 1.90-1.93
P  0.2471  0.7451  0.3728  4 O 1.50-1.60
P  0.2549  0.7529  0.1272  4 O 1.50-1.60
P  0.7451  0.2471  0.8728  4 O 1.50-1.60
P  0.7529  0.2549  0.6272  4 O 1.50-1.60
O  0.0756  0.1467  0.6454  1 P 1.55
O  0.1052  0.6030  0.1960  1 P 1.60
O  0.1467  0.0756  0.1454  1 P 1.55
O  0.1681  0.6666  0.0395  1 P 1.50
O  0.3334  0.8319  0.4605  1 P 1.50
O  0.3556  0.4224  0.3546  1 P 1.55
O  0.3970  0.8948  0.3040  1 P 1.60
O  0.4224  0.3556  0.8546  1 P 1.55
O  0.5776  0.6444  0.1454  1 P 1.55
O  0.6030  0.1052  0.6960  1 P 1.60
O  0.6444  0.5776  0.6454  1 P 1.55
O  0.6666  0.1681  0.5395  1 P 1.50
O  0.8319  0.3334  0.9605  1 P 1.50
O  0.8533  0.9244  0.8546  1 P 1.55
O  0.8948  0.3970  0.8040  1 P 1.60
O  0.9244  0.8533  0.3546  1 P 1.55



[3]
A plane-wave DFT calculation with PBEsol was carried out for a geometry-optimized Mn3InF structure.

Calculated values
Size of the total moment = 14.462 μB per formula unit
Final energy = -28.6 eV for the cell shown

Cell lengths 5.1173, 5.1173, 5.1173 Å; angles 90.00, 90.00, 90.00 degrees
With the nearest neighbours (Å) after each atom.
Positions (direct):
Mn  0.0000  0.0000  0.5000  2 In 2.56
Mn  0.0000  0.5000  0.0000  2 In 2.56
Mn  0.5000  0.0000  0.0000  2 In 2.56
In  0.0000  0.0000  0.0000  6 Mn 2.56
F  0.5000  0.5000  0.5000  12 Mn 3.62